[1]
This record from Alexandria via LeMat-Bulk describes crystalline ScCd2Ir at its relaxed geometry. The functional is GGA-PBEsol.

a = 3.954 Å, b = 3.954 Å, c = 4.578 Å
α = 90.00°, β = 90.00°, γ = 90.00°
Fractional coordinates of all 4 atoms:
Sc1 0.000 0.000 0.000
Cd1 0.000 0.500 0.500
Cd2 0.500 0.000 0.500
Ir1 0.500 0.500 0.000

Properties
As for the calculated volume: 17.90 A^3/atom. The calculation puts the calculated density at 10.72 g/cm³. The value obtained for the formation energy is -1.16 eV/f.u. The value obtained for the total magnetization is 0.0 μB/f.u. For the density of states at the Fermi level, the calculation gives 2.25 states/eV per cell. Its space group is P4/mmm, No. 123.

***

[2]
This record from Alexandria via LeMat-Bulk describes crystalline KBaBP2O8 at its relaxed geometry. The functional is GGA-PBEsol.

a = 7.193 Å, b = 7.193 Å, c = 8.723 Å
α = 113.26°, β = 113.26°, γ = 89.93°
Fractional coordinates of all 26 atoms:
K1 0.075 0.925 0.500
K2 0.925 0.075 0.000
Ba1 0.201 0.579 0.007
Ba2 0.579 0.201 0.507
B1 0.441 0.712 0.760
B2 0.712 0.441 0.260
P1 0.082 0.426 0.517
P2 0.426 0.082 0.017
P3 0.577 0.721 0.505
P4 0.721 0.577 0.005
O1 0.205 0.270 0.448
O2 0.217 0.648 0.657
O3 0.270 0.205 0.948
O4 0.362 0.968 0.108
O5 0.380 0.778 0.395
O6 0.481 0.936 0.856
O7 0.503 0.607 0.881
O8 0.556 0.652 0.649
O9 0.607 0.503 0.381
O10 0.648 0.217 0.157
O11 0.652 0.556 0.149
O12 0.763 0.890 0.595
O13 0.778 0.380 0.895
O14 0.890 0.763 0.095
O15 0.936 0.481 0.356
O16 0.968 0.362 0.608

Properties
As for the calculated volume: 14.40 A^3/atom. The calculation puts the calculated density at 3.35 g/cm³. The value obtained for the total magnetization is 0.0 μB/f.u. The calculation puts the total energy at -7.477 eV/atom. For the density of states at the Fermi level, the calculation gives 0.00 states/eV per cell. Its space group is Cc, No. 9.

***

[3]
This record from Alexandria via LeMat-Bulk describes crystalline HfGaIN2 at its relaxed geometry. The functional is GGA-PBEsol.

a = 3.992 Å, b = 3.992 Å, c = 5.110 Å
α = 90.00°, β = 90.00°, γ = 90.00°
Fractional coordinates of all 5 atoms:
Hf1 0.000 0.000 0.000
Ga1 0.500 0.500 0.500
I1 0.500 0.500 0.000
N1 0.000 0.500 0.500
N2 0.500 0.000 0.500

Properties
As for the calculated volume: 16.29 A^3/atom. The calculation puts the calculated density at 8.22 g/cm³. The value obtained for the total magnetization is 0.0 μB/f.u. The calculation puts the total energy at -5.385 eV/atom. For the density of states at the Fermi level, the calculation gives 3.16 states/eV per cell. Its space group is P4/mmm, No. 123.

***

[4]
This record from Alexandria via LeMat-Bulk describes crystalline AlPPb at its relaxed geometry. The functional is GGA-PBEsol.

a = 3.746 Å, b = 3.746 Å, c = 5.421 Å
α = 90.00°, β = 90.00°, γ = 120.00°
Fractional coordinates of all 3 atoms:
Al1 0.000 0.000 0.000
P1 0.333 0.667 0.185
Pb1 0.667 0.333 0.581

Properties
As for the calculated volume: 21.96 A^3/atom. The calculation puts the calculated density at 6.68 g/cm³. The value obtained for the formation energy is -0.24 eV/f.u. The value obtained for the total magnetization is 0.0 μB/f.u. For the density of states at the Fermi level, the calculation gives 1.15 states/eV per cell. Its space group is P3m1, No. 156.

***

[5]
This record from Alexandria via LeMat-Bulk describes crystalline AgPbS2Cl at its relaxed geometry. The functional is GGA-PBEsol.

a = 4.794 Å, b = 4.794 Å, c = 4.856 Å
α = 90.00°, β = 90.00°, γ = 90.00°
Fractional coordinates of all 5 atoms:
Ag1 0.000 0.000 0.000
Pb1 0.500 0.500 0.500
S1 0.000 0.500 0.000
S2 0.500 0.000 0.000
Cl1 0.000 0.000 0.500

Properties
As for the calculated volume: 22.32 A^3/atom. The calculation puts the calculated density at 6.17 g/cm³. The value obtained for the total magnetization is 0.0 μB/f.u. The calculation puts the total energy at -3.647 eV/atom. For the density of states at the Fermi level, the calculation gives 1.46 states/eV per cell. Its space group is P4/mmm, No. 123.

***

[6]
This record from Alexandria via LeMat-Bulk describes crystalline BeOs2Rh at its relaxed geometry. The functional is GGA-PBEsol.

a = 2.649 Å, b = 2.649 Å, c = 8.308 Å
α = 90.00°, β = 90.00°, γ = 117.74°
Fractional coordinates of all 4 atoms:
Be1 0.000 0.000 0.000
Os1 0.000 0.000 0.495
Os2 0.500 0.500 0.768
Rh1 0.500 0.500 0.216

Properties
As for the calculated volume: 12.90 A^3/atom. The calculation puts the calculated density at 15.84 g/cm³. The value obtained for the formation energy is 1.24 eV/f.u. The value obtained for the total magnetization is 0.0 μB/f.u. For the density of states at the Fermi level, the calculation gives 4.79 states/eV per cell. Its space group is Cmm2, No. 35.

***

[7]
This record from Alexandria via LeMat-Bulk describes crystalline TlSbPb2 at its relaxed geometry. The functional is GGA-PBEsol.

a = 5.457 Å, b = 5.457 Å, c = 5.457 Å
α = 60.00°, β = 60.00°, γ = 60.00°
Fractional coordinates of all 4 atoms:
Tl1 0.000 0.000 0.000
Sb1 0.750 0.750 0.750
Pb1 0.250 0.250 0.250
Pb2 0.500 0.500 0.500

Properties
As for the calculated volume: 28.72 A^3/atom. The calculation puts the calculated density at 10.70 g/cm³. The value obtained for the total magnetization is 0.0 μB/f.u. The calculation puts the total energy at -3.727 eV/atom. For the density of states at the Fermi level, the calculation gives 2.38 states/eV per cell. Its space group is F-43m, No. 216.

***

[8]
This record from Alexandria via LeMat-Bulk describes crystalline Ca5CuP3 at its relaxed geometry. The functional is GGA-PBEsol.

a = 8.354 Å, b = 8.354 Å, c = 6.615 Å
α = 90.00°, β = 90.00°, γ = 120.00°
Fractional coordinates of all 18 atoms:
Ca1 0.000 0.269 0.250
Ca2 0.000 0.731 0.750
Ca3 0.269 0.000 0.250
Ca4 0.269 0.269 0.750
Ca5 0.333 0.667 0.000
Ca6 0.333 0.667 0.500
Ca7 0.667 0.333 0.000
Ca8 0.667 0.333 0.500
Ca9 0.731 0.000 0.750
Ca10 0.731 0.731 0.250
Cu1 0.000 0.000 0.000
Cu2 0.000 0.000 0.500
P1 0.000 0.387 0.750
P2 0.000 0.613 0.250
P3 0.387 0.000 0.750
P4 0.387 0.387 0.250
P5 0.613 0.000 0.250
P6 0.613 0.613 0.750

Properties
As for the calculated volume: 22.21 A^3/atom. The calculation puts the calculated density at 2.96 g/cm³. The value obtained for the formation energy is -7.88 eV/f.u. The value obtained for the total magnetization is 0.0 μB/f.u. For the density of states at the Fermi level, the calculation gives 0.26 states/eV per cell. Its space group is P6_3/mcm, No. 193.

***

[9]
This record from Alexandria via LeMat-Bulk describes crystalline TeAsPBr2 at its relaxed geometry. The functional is GGA-PBEsol.

a = 5.430 Å, b = 5.430 Å, c = 5.580 Å
α = 90.00°, β = 90.00°, γ = 90.00°
Fractional coordinates of all 5 atoms:
Te1 0.000 0.000 0.000
As1 0.000 0.000 0.500
P1 0.500 0.500 0.500
Br1 0.000 0.500 0.000
Br2 0.500 0.000 0.000

Properties
As for the calculated volume: 32.90 A^3/atom. The calculation puts the calculated density at 3.97 g/cm³. The value obtained for the total magnetization is 1.2 μB/f.u. The calculation puts the total energy at -2.726 eV/atom. For the density of states at the Fermi level, the calculation gives 1.57 states/eV per cell. Its space group is P4/mmm, No. 123.

***

[10]
This record from Alexandria via LeMat-Bulk describes crystalline ScCuPb2 at its relaxed geometry. The functional is GGA-PBEsol.

a = 4.504 Å, b = 5.809 Å, c = 5.809 Å
α = 36.16°, β = 90.00°, γ = 90.00°
Fractional coordinates of all 4 atoms:
Sc1 0.000 0.000 0.000
Cu1 0.500 0.153 0.153
Pb1 0.000 0.728 0.728
Pb2 0.500 0.431 0.431

Properties
As for the calculated volume: 22.42 A^3/atom. The calculation puts the calculated density at 9.68 g/cm³. The value obtained for the formation energy is -0.14 eV/f.u. The value obtained for the total magnetization is 0.0 μB/f.u. For the density of states at the Fermi level, the calculation gives 2.41 states/eV per cell. Its space group is Amm2, No. 38.

***

[11]
This record from Alexandria via LeMat-Bulk describes crystalline Y2HgAu at its relaxed geometry. The functional is GGA-PBEsol.

a = 6.205 Å, b = 6.205 Å, c = 6.205 Å
α = 146.02°, β = 134.56°, γ = 57.93°
Fractional coordinates of all 4 atoms:
Y1 0.000 0.000 0.000
Y2 0.721 0.221 0.500
Hg1 0.440 0.440 0.000
Au1 0.224 0.724 0.500

Properties
As for the calculated volume: 23.59 A^3/atom. The calculation puts the calculated density at 10.12 g/cm³. The value obtained for the formation energy is -2.32 eV/f.u. The value obtained for the total magnetization is 0.0 μB/f.u. For the density of states at the Fermi level, the calculation gives 3.73 states/eV per cell. Its space group is Imm2, No. 44.

***

[12]
This record from Alexandria via LeMat-Bulk describes crystalline BeAlZn at its relaxed geometry. The functional is GGA-PBEsol.

a = 5.775 Å, b = 5.775 Å, c = 5.775 Å
α = 153.19°, β = 153.19°, γ = 38.27°
Fractional coordinates of all 3 atoms:
Be1 0.000 0.000 0.000
Al1 0.658 0.658 0.000
Zn1 0.352 0.352 0.000

Properties
As for the calculated volume: 13.03 A^3/atom. The calculation puts the calculated density at 4.31 g/cm³. The value obtained for the formation energy is 0.52 eV/f.u. The value obtained for the total magnetization is 0.0 μB/f.u. For the density of states at the Fermi level, the calculation gives 1.01 states/eV per cell. Its space group is I4mm, No. 107.